TcAsIr2 | PBE | relaxed

Cell lengths 4.6378, 4.6378, 4.6378 Å; angles 128.73, 128.73, 75.44 degrees
With the nearest neighbours (Å) after each atom.
Positions (direct):
Tc 0.0000 0.0000 0.0000  4 As 2.72, 8 Ir 2.72-2.84
As 0.2500 0.7500 0.5000  8 Ir 2.72-2.84, 4 Tc 2.72
Ir 0.5000 0.5000 0.0000  4 As 2.72, 4 Ir 2.72, 4 Tc 2.84
Ir 0.7500 0.2500 0.5000  4 Ir 2.72, 4 Tc 2.72, 4 As 2.84

Values from the calculation:
Calculated volume ... 14.8 Å³/atom
M_tot ... 0.0 μB/cell
E ... -32.0 eV/cell
Formation enthalpy at 0 K ... 0.174 eV per atom



Tc2AsIr | PBE | relaxed

Cell lengths 2.8976, 2.8976, 6.9773 Å; angles 90.00, 90.00, 90.00 degrees
With the nearest neighbours (Å) after each atom.
Positions (direct):
Tc 0.0000 0.0000 0.0000  8 Tc 2.69-2.90, 4 Ir 2.82
Tc 0.5000 0.5000 0.2490  4 As 2.62, 8 Tc 2.69-2.90
As 0.0000 0.0000 0.4826  4 Tc 2.62, 4 Ir 2.65, 4 As 2.90
Ir 0.5000 0.5000 0.7230  4 As 2.65, 4 Tc 2.82, 4 Ir 2.90

Values from the calculation:
Calculated volume ... 14.6 Å³/atom
M_tot ... 0.0 μB/cell
E ... -34.1 eV/cell
Formation enthalpy at 0 K ... 0.032 eV per atom



Tc2AsIr | PBE | relaxed

Cell lengths 6.7585, 6.7585, 6.7585 Å; angles 131.07, 131.07, 71.69 degrees
With the nearest neighbours (Å) after each atom.
Positions (direct):
Tc 0.1196 0.6250 0.9946  2 Ir 2.39, 2 As 2.42
Tc 0.3750 0.3696 0.4946  2 Ir 2.39, 2 As 2.42
Tc 0.6304 0.1250 0.0054  2 Ir 2.39, 2 As 2.42
Tc 0.8750 0.8804 0.5054  2 Ir 2.39, 2 As 2.42
As 0.2500 0.7500 0.5000  4 Tc 2.42
As 0.5000 0.5000 0.0000  4 Tc 2.42
Ir 0.0000 0.0000 0.0000  4 Tc 2.39
Ir 0.7500 0.2500 0.5000  4 Tc 2.39

Values from the calculation:
Calculated volume ... 21.5 Å³/atom
M_tot ... 0.0 μB/cell
E ... -63.2 eV/cell
Formation enthalpy at 0 K ... 0.662 eV per atom



Tc2AsIr | PBE | relaxed

Cell lengths 4.8087, 4.8087, 2.8329 Å; angles 90.00, 90.00, 114.96 degrees
With the nearest neighbours (Å) after each atom.
Positions (direct):
Tc 0.0000 0.5000 0.0000  4 Tc 2.59-2.83, 4 As 2.79, 4 Ir 2.79
Tc 0.5000 0.0000 0.0000  4 Tc 2.59-2.83, 4 As 2.79, 4 Ir 2.79
As 0.0000 0.0000 0.5000  2 Ir 2.59, 8 Tc 2.79, 2 As 2.83
Ir 0.5000 0.5000 0.5000  2 As 2.59, 8 Tc 2.79, 2 Ir 2.83

Values from the calculation:
Calculated volume ... 14.8 Å³/atom
M_tot ... 0.0 μB/cell
E ... -33.5 eV/cell
Formation enthalpy at 0 K ... 0.194 eV per atom



TcAsIr2 | PBE | relaxed

Cell lengths 2.7613, 2.7613, 9.3202 Å; angles 90.00, 90.00, 119.51 degrees
With the nearest neighbours (Å) after each atom.
Positions (direct):
Tc 0.0000 0.0000 0.0000  4 Ir 2.66, 6 Tc 2.76-2.78
As 0.0000 0.0000 0.5000  6 As 2.76-2.78, 4 Ir 2.77
Ir 0.5000 0.5000 0.2428  2 Tc 2.66, 6 Ir 2.76-2.78, 2 As 2.77
Ir 0.5000 0.5000 0.7572  2 Tc 2.66, 6 Ir 2.76-2.78, 2 As 2.77

Values from the calculation:
Calculated volume ... 15.5 Å³/atom
M_tot ... 0.4 μB/cell
E ... -31.3 eV/cell
Formation enthalpy at 0 K ... 0.356 eV per atom



TcAs4Ir | PBE | relaxed

Cell lengths 5.3000, 5.3000, 5.3000 Å; angles 60.00, 60.00, 60.00 degrees
With the nearest neighbours (Å) after each atom.
Positions (direct):
Tc 0.0000 0.0000 0.0000  12 As 3.11, 4 Ir 3.25
As 0.1248 0.6251 0.6251  6 As 2.65
As 0.6251 0.1248 0.6251  6 As 2.65
As 0.6251 0.6251 0.1248  6 As 2.65
As 0.6251 0.6251 0.6251  6 As 2.65
Ir 0.2500 0.2500 0.2500  12 As 3.11, 4 Tc 3.25

Values from the calculation:
Calculated volume ... 17.5 Å³/atom
M_tot ... 1.6 μB/cell
E ... -31.9 eV/cell
Energy above the most stable polymorph in this dataset ... 1024.7 meV/atom
Formation enthalpy at 0 K ... 0.990 eV per atom



Tc2AsIr | PBE | relaxed

Cell lengths 2.8490, 3.9162, 5.3919 Å; angles 90.00, 90.00, 90.00 degrees
With the nearest neighbours (Å) after each atom.
Positions (direct):
Tc 0.0000 0.0000 0.0000  4 Ir 2.61, 2 As 2.64-2.75, 2 Tc 2.85
Tc 0.5000 0.5000 0.3265  4 As 2.62, 2 Ir 2.66-2.73, 2 Tc 2.85
As 0.0000 0.0000 0.5105  6 Tc 2.62-2.75, 2 As 2.85
Ir 0.5000 0.5000 0.8198  6 Tc 2.61-2.73, 2 Ir 2.85

Values from the calculation:
Calculated volume ... 15.0 Å³/atom
M_tot ... 0.0 μB/cell
E ... -33.7 eV/cell
Formation enthalpy at 0 K ... 0.131 eV per atom



Tc2AsIr | PBE | relaxed

Cell lengths 8.6001, 8.6001, 8.6001 Å; angles 18.95, 18.95, 18.95 degrees
With the nearest neighbours (Å) after each atom.
Positions (direct):
Tc 0.2471 0.2471 0.2471  3 As 2.61, 3 Ir 2.73, 6 Tc 2.83
Tc 0.7529 0.7529 0.7529  3 As 2.61, 3 Ir 2.73, 6 Tc 2.83
As 0.5000 0.5000 0.5000  6 Tc 2.61, 6 As 2.83
Ir 0.0000 0.0000 0.0000  6 Tc 2.73, 6 Ir 2.83

Values from the calculation:
Calculated volume ... 14.7 Å³/atom
M_tot ... 0.0 μB/cell
E ... -34.1 eV/cell
Formation enthalpy at 0 K ... 0.040 eV per atom



What is the formation enthalpy at 0 K in the seventh record?
0.131 eV per atom